Entry 1:
Density functional theory data (PBE) for a relaxed Tb10Er4Zr crystal.

Geometry as POSCAR:
```
Tb10Er4Zr
1.0
7.0315 0.0000 3.1750
3.5158 7.8940 1.5875
0.2671 0.0000 8.7821
Tb Er Zr
10 4 1
Cartesian
9.4736 6.2451 11.1298
4.3334 1.6489 3.7661
2.9652 1.6491 8.1912
6.4811 6.2451 9.7785
7.1651 3.9470 7.5661
5.9577 1.6491 9.5424
4.8567 6.2449 4.0022
3.6493 3.9470 5.9786
1.3409 1.6489 2.4149
7.8492 6.2449 5.3535
1.7543 0.0001 5.4886
9.0602 7.8939 8.0560
7.0315 3.6136 3.1752
3.7829 4.2804 10.3695
0.0000 0.0000 0.0000
```

Summary:
The value obtained for the energy relative to the elements is 231 meV/atom.

=====

Entry 2:
Density functional theory data (PBE) for a relaxed Tb6Er12Zr crystal.

Geometry as POSCAR:
```
Tb6Er12Zr
1.0
-6.8338 -3.0801 4.1507
1.9699 -6.9710 -4.5761
5.7993 -0.8850 6.2451
Er Tb Zr
12 6 1
Cartesian
3.7014 -4.9062 3.4459
2.7212 -6.4640 0.6761
-1.2326 -7.9290 4.8956
-1.2332 -3.5981 0.3601
1.4479 -3.9103 5.6797
1.1377 -8.9766 2.5461
-2.7660 -6.0300 2.3737
2.1687 -7.3380 5.4595
-0.5125 -7.0259 0.1400
2.1680 -3.0071 0.9240
-0.2022 -1.9595 3.2736
-1.7858 -4.4721 5.1436
1.2112 -5.0078 -2.0569
-2.4580 -9.3966 1.7098
-0.2757 -5.9283 7.8766
3.3934 -1.5396 4.1098
4.7413 -8.1456 2.9034
-3.8059 -2.7905 2.9163
0.0000 0.0000 0.0000
```

Summary:
The value obtained for the energy relative to the elements is 251 meV/atom. As for the excess energy over the best structure of this formula in the dataset: 0.0728 eV per atom.

=====

Entry 3:
Density functional theory data (PBE) for a relaxed Tb8Er2Zr crystal.

Geometry as POSCAR:
```
Tb8Er2Zr
1.0
-3.5115 -0.9536 3.3718
-1.6443 -6.7838 -3.6309
8.0718 -1.5224 4.3264
Tb Er Zr
8 2 1
Cartesian
-1.3547 -3.8497 1.1497
3.5665 -4.0881 6.2074
-0.6505 -5.1717 -2.1400
4.2708 -5.4101 2.9177
3.9079 -1.8880 3.5358
1.3838 -1.7253 0.9532
1.5322 -7.5344 3.1141
-0.9919 -7.3717 0.5315
1.1037 -4.0535 3.6522
1.8124 -5.2062 0.4151
-1.7557 -0.4768 1.6859
```

Summary:
The value obtained for the energy relative to the elements is 45 meV/atom. As for the excess energy over the best structure of this formula in the dataset: 0.0000 eV per atom.

=====

Entry 4:
Density functional theory data (PBE) for a relaxed Tb4Er3Zr crystal.

Geometry as POSCAR:
```
Tb4Er3Zr
1.0
3.3557 0.0001 -0.4385
0.0525 6.6710 0.4011
-0.2527 2.6856 11.1235
Er Tb Zr
3 4 1
Cartesian
0.3736 4.9566 2.8579
0.0263 3.3355 0.2006
2.7819 4.4001 8.2282
0.7496 3.0194 5.7353
2.4059 6.3373 5.3508
2.8084 7.9398 8.4306
0.3471 1.4169 2.6555
1.6778 0.0000 -0.2193
```

Summary:
The value obtained for the energy relative to the elements is 207 meV/atom.

=====

Entry 5:
Density functional theory data (PBE) for a relaxed Tb4Er15Zr crystal.

Geometry as POSCAR:
```
Tb4Er15Zr
1.0
-0.3772 -3.8477 3.0962
2.6070 -2.7925 -3.1527
20.9092 6.9264 11.1547
Tb Er Zr
4 15 1
Cartesian
4.1348 1.3697 2.2058
8.3390 2.7624 4.4487
12.5702 4.1640 6.7060
16.7744 5.5567 8.9488
10.2660 1.5393 7.1254
18.7594 4.3529 11.6565
9.4584 -0.5562 4.4229
17.9050 2.2418 8.9290
1.1149 -3.3201 -0.0282
14.4994 2.9417 9.3839
3.2647 -0.7466 -0.5301
1.7726 -1.2742 2.5944
15.9915 3.4693 6.2594
6.0326 0.1370 4.8670
5.2340 -1.9556 2.1692
7.5247 0.6646 1.7425
11.7581 2.0670 4.0010
13.6805 0.8424 6.6753
20.2514 4.8805 8.5320
0.0000 0.0000 0.0000
```

Summary:
The value obtained for the energy relative to the elements is 32 meV/atom.

=====

Entry 6:
Density functional theory data (PBE) for a relaxed Tb2ErZr crystal.

Geometry as POSCAR:
```
Tb2ErZr
1.0
3.3557 0.0000 0.0000
1.6779 2.9061 0.0000
1.6779 0.9687 11.9403
Zr Er Tb
1 1 2
Cartesian
0.0000 0.0000 0.0000
3.3557 1.9374 5.9702
5.0336 2.9061 3.1054
1.6779 0.9687 8.8349
```

Summary:
The value obtained for the energy relative to the elements is 288 meV/atom. As for the excess energy over the best structure of this formula in the dataset: 0.2078 eV per atom.

=====

Entry 7:
Density functional theory data (PBE) for a relaxed TbEr2Zr crystal.

Geometry as POSCAR:
```
TbEr2Zr
1.0
3.3374 0.0000 0.0000
0.0000 6.6075 0.6935
-1.6684 -0.9957 10.5475
Er Zr Tb
4 2 2
Cartesian
0.0722 0.2971 9.1082
-0.0248 3.6009 9.4549
1.6439 4.0996 3.5151
1.7407 0.7958 3.1685
0.0234 2.6962 1.0380
0.0234 6.0000 1.3847
-0.8107 2.1984 6.3117
0.8580 5.5021 6.6583
```

Summary:
The value obtained for the energy relative to the elements is 143 meV/atom. As for the excess energy over the best structure of this formula in the dataset: 0.0772 eV per atom.

=====

Entry 8:
Density functional theory data (PBE) for a relaxed Tb2Er8Zr crystal.

Geometry as POSCAR:
```
Tb2Er8Zr
1.0
4.7507 0.0000 -1.2652
-0.5186 7.5316 -1.9473
-0.0894 -0.0337 9.2160
Er Zr Tb
8 1 2
Cartesian
-0.1804 5.5463 -0.6773
1.5919 4.1595 5.9774
3.6316 6.1930 4.0848
1.4226 0.6588 5.3416
0.5110 1.3050 1.9187
4.3230 1.9517 6.6808
2.5507 3.3384 0.0261
2.7201 6.8392 0.6619
2.3753 0.0000 -0.6326
0.7056 4.7644 2.6496
3.4370 2.7336 3.3539
```

Summary:
The value obtained for the energy relative to the elements is 40 meV/atom. As for the excess energy over the best structure of this formula in the dataset: 0.0000 eV per atom.

=====

Entry 9:
Density functional theory data (PBE) for a relaxed Tb3Er3Zr crystal.

Geometry as POSCAR:
```
Tb3Er3Zr
1.0
5.7814 0.0001 1.8580
2.5922 5.1677 1.8579
-1.3185 -0.8139 14.0271
Zr Er Tb
2 6 6
Cartesian
1.4729 0.9088 15.2652
5.5822 3.4450 2.4778
1.3714 -0.3477 12.3016
5.6837 4.7015 5.4414
4.1492 1.3815 13.5372
2.9059 2.9723 4.2057
5.8943 1.2647 4.8275
1.1608 3.0891 12.9155
5.8918 2.4554 8.1527
4.1726 0.1885 10.2183
1.1633 1.8984 9.5903
2.8825 4.1653 7.5247
3.9525 3.6450 10.8331
3.1026 0.7088 6.9099
```

Summary:
The value obtained for the energy relative to the elements is 202 meV/atom.

=====

Entry 10:
Density functional theory data (PBE) for a relaxed TbEr2Zr crystal.

Geometry as POSCAR:
```
TbEr2Zr
1.0
3.9893 0.0000 0.0000
0.0000 3.9893 0.0000
0.0000 0.0000 7.2382
Er Zr Tb
2 1 1
Cartesian
0.0000 0.0000 5.6106
0.0000 0.0000 1.6277
1.9946 1.9946 0.0000
1.9946 1.9946 3.6191
```

Summary:
The value obtained for the energy relative to the elements is 166 meV/atom. As for the excess energy over the best structure of this formula in the dataset: 0.1000 eV per atom.

=====

Entry 11:
Density functional theory data (PBE) for a relaxed Er2Tc crystal.

Geometry as POSCAR:
```
Er2Tc
1.0
3.4393 -0.0003 -0.0015
-0.0003 3.4393 -0.0015
-1.7245 -1.7245 6.1429
Er Tc
2 1
Cartesian
1.7163 1.7163 4.5306
-0.0018 -0.0018 1.6093
1.7195 1.7195 -0.0015
```

Summary:
The value obtained for the energy relative to the elements is -84 meV/atom. As for the excess energy over the best structure of this formula in the dataset: 0.0000 eV per atom.

=====

Entry 12:
Density functional theory data (PBE) for a relaxed Er5Tc2 crystal.

Geometry as POSCAR:
```
Er5Tc2
1.0
-0.7639 3.5720 4.8823
-6.9165 1.6659 -2.3010
-1.4524 -8.0528 1.8569
Er Tc
10 4
Cartesian
-6.9066 0.7449 2.8508
-5.2382 -5.5087 0.3307
-2.3577 -3.6398 5.1741
-2.0375 1.8583 1.3955
-5.6429 3.3796 1.1858
-5.8186 -2.0995 1.2945
-3.8946 2.6938 4.1075
-2.2262 -3.5598 1.5874
-6.7750 0.8248 -0.7359
-3.3142 -0.7154 3.1437
-4.6237 0.6646 1.0639
-1.4732 1.2708 4.1814
-7.6596 -4.0857 0.2568
-4.5091 -3.4795 3.3743
```

Summary:
The value obtained for the energy relative to the elements is -112 meV/atom.

=====

Entry 13:
Density functional theory data (PBE) for a relaxed Er3Tc crystal.

Geometry as POSCAR:
```
Er3Tc
1.0
-0.9081 -2.8546 1.9664
-1.3321 -2.6064 -4.3989
6.0806 0.8750 0.8135
Tc Er
1 3
Cartesian
-1.2238 -2.3945 -4.0411
2.4134 -2.1940 -2.0705
1.6510 -1.9536 1.1913
-1.0084 -2.5120 -0.8475
```

Summary:
The value obtained for the energy relative to the elements is -16 meV/atom.

=====

Entry 14:
Density functional theory data (PBE) for a relaxed Er3Tc crystal.

Geometry as POSCAR:
```
Er3Tc
1.0
6.9483 0.0000 0.6511
3.4741 5.3763 0.3255
-1.1907 0.0000 5.8391
Er Tc
6 2
Cartesian
3.5805 1.8071 4.9009
5.6512 3.5692 1.9148
2.1770 1.8071 1.5893
0.5119 0.0000 4.2997
5.2457 0.0000 2.1905
7.0547 3.5692 5.2265
3.4741 3.9402 0.3255
6.9483 1.4361 0.6511
```

Summary:
The value obtained for the energy relative to the elements is 82 meV/atom.

=====

Entry 15:
Density functional theory data (PBE) for a relaxed Er5Tc crystal.

Geometry as POSCAR:
```
Er5Tc
1.0
5.0571 0.0000 0.0000
0.0000 4.8441 0.0000
0.0000 -2.4220 6.4837
Er Tc
5 1
Cartesian
0.0000 2.4220 1.8660
0.0000 0.0000 4.6178
2.5286 2.4220 0.0000
2.5286 0.0000 1.9891
2.5286 2.4220 4.4946
0.0000 0.0000 0.0000
```

Summary:
The value obtained for the energy relative to the elements is 128 meV/atom. As for the excess energy over the best structure of this formula in the dataset: 0.1583 eV per atom.

=====

Entry 16:
Density functional theory data (PBE) for a relaxed Er5Tc crystal.

Geometry as POSCAR:
```
Er5Tc
1.0
-1.6133 2.8319 -1.3880
-5.3152 0.7890 3.2675
0.6926 5.6614 6.2253
Er Tc
5 1
Cartesian
-4.1255 3.0183 1.9125
-2.3113 3.2252 4.7464
-0.5623 2.5894 1.4163
-2.1105 6.2639 6.1923
-5.6737 6.6928 6.6885
0.0000 0.0000 0.0000
```

Summary:
The value obtained for the energy relative to the elements is -30 meV/atom. As for the excess energy over the best structure of this formula in the dataset: 0.0000 eV per atom.

=====

Entry 17:
Density functional theory data (PBE) for a relaxed Er3Tc crystal.

Geometry as POSCAR:
```
Er3Tc
1.0
-2.0707 -3.0793 -0.6269
-0.2174 -0.5382 3.3616
-7.0794 4.7005 0.2948
Er Tc
3 1
Cartesian
-6.3630 1.9977 -0.0916
-3.4344 1.9390 1.8193
-2.0514 -1.2063 1.4051
-6.9579 4.6197 0.2897
```

Summary:
The value obtained for the energy relative to the elements is 301 meV/atom.

=====

Entry 18:
Density functional theory data (PBE) for a relaxed Er2Tc crystal.

Geometry as POSCAR:
```
Er2Tc
1.0
3.7492 0.0000 0.0000
0.0000 7.9206 0.0000
0.0000 0.0000 9.5940
Er Tc
8 4
Cartesian
2.8119 5.2076 9.0583
2.8119 1.2473 5.3328
0.9373 3.9855 6.4393
2.8119 7.8954 1.6423
0.9373 6.6733 4.2613
0.9373 0.0252 7.9518
0.9373 2.7130 0.5357
2.8119 3.9351 3.1547
2.8119 2.3673 7.9842
0.9373 5.5532 1.6098
2.8119 6.3276 6.4068
0.9373 1.5930 3.1872
```

Summary:
The value obtained for the energy relative to the elements is -73 meV/atom. As for the excess energy over the best structure of this formula in the dataset: 0.0108 eV per atom.

=====

Entry 19:
Density functional theory data (PBE) for a relaxed ErTc5 crystal.

Geometry as POSCAR:
```
ErTc5
1.0
-0.6031 0.6858 2.9376
0.7599 -4.4148 1.1866
6.2197 3.6190 0.4320
Er Tc
1 5
Cartesian
0.0000 0.0000 0.0000
2.4520 -1.7642 0.9152
2.1816 0.8740 1.8546
0.0784 -1.8645 2.0621
4.5276 0.9684 0.7034
4.1949 -0.9841 2.7016
```

Summary:
The value obtained for the energy relative to the elements is 198 meV/atom.

=====

Entry 20:
Density functional theory data (PBE) for a relaxed Er2TcTe crystal.

Geometry as POSCAR:
```
Er2TcTe
1.0
3.6690 0.0000 0.0000
0.0000 3.6690 0.0000
0.0000 0.0000 6.8849
Er Tc Te
2 1 1
Cartesian
0.0000 0.0000 1.5632
0.0000 0.0000 5.3217
1.8345 1.8345 0.0000
1.8345 1.8345 3.4425
```

Summary:
As for the uncorrected formation energy: -0.519 eV per atom. As for the excess energy over the best structure of this formula in the dataset: 0.0000 eV per atom.

=====

Entry 21:
Density functional theory data (PBE) for a relaxed Er7Tc2Te2 crystal.

Geometry as POSCAR:
```
Er7Tc2Te2
1.0
-3.8663 0.9469 0.1955
-3.8757 -8.0068 2.7554
-1.9601 -1.4713 8.9842
Tc Er Te
2 7 2
Cartesian
-2.5673 -2.5651 2.2746
-7.4728 -7.1191 8.5616
-5.3175 -6.3556 6.8667
-2.1721 -1.6304 5.5627
-5.2744 -6.8836 10.2741
-6.6380 -3.8574 9.2728
-4.7873 -3.5492 3.7591
-3.9404 -1.1588 8.9285
-4.0272 -0.2813 2.9631
-4.5792 -3.3382 6.8514
-3.4145 -6.4334 4.2550
```

Summary:
As for the uncorrected formation energy: -0.551 eV per atom.

=====

Entry 22:
Density functional theory data (PBE) for a relaxed Er8TcTe2 crystal.

Geometry as POSCAR:
```
Er8TcTe2
1.0
-2.2165 -3.0376 1.6701
3.3803 1.2626 6.7828
-6.0419 8.1853 1.8009
Te Er Tc
2 8 1
Cartesian
-4.8729 3.3330 4.6635
-0.0052 3.0772 5.5902
-4.0382 6.1317 5.7932
-7.4210 5.3695 4.9858
-2.9627 0.2384 1.5700
-2.7746 3.0728 6.9752
2.5429 1.0407 5.2679
-0.8399 0.2786 4.4605
-2.1036 3.3374 3.2785
-1.9154 6.1718 8.6837
-1.1082 -1.5188 0.8350
```

Summary:
As for the uncorrected formation energy: -0.396 eV per atom.

=====

Entry 23:
Density functional theory data (PBE) for a relaxed Er3TcTe crystal.

Geometry as POSCAR:
```
Er3TcTe
1.0
-3.8542 0.4000 -2.8260
3.1889 -7.0270 -1.2743
-4.9811 0.2835 6.8335
Te Er Tc
2 6 2
Cartesian
-3.9541 -1.3748 1.1285
-1.6923 -4.9687 1.6047
0.2120 -5.3387 -1.0448
-3.1032 -3.0870 3.7952
-0.8643 -0.8474 1.0587
-2.5432 -3.2565 -1.0620
-5.8584 -1.0048 3.7780
-4.7821 -5.4961 1.6744
-6.0367 -3.9932 3.5982
0.3903 -2.3503 -0.8651
```

Summary:
As for the uncorrected formation energy: -0.495 eV per atom. As for the excess energy over the best structure of this formula in the dataset: 0.0500 eV per atom.

=====

| no. | ρ (Mg/m³) |
| --- | --- |
| 1 | 8.1 |
| 2 | 8.4 |
| 3 | 8.4 |
| 4 | 8.3 |
| 5 | 8.9 |
| 6 | 8.2 |
| 7 | 8.3 |
| 8 | 8.8 |
| 9 | 8.1 |
| 10 | 8.4 |
| 11 | 9.9 |
| 12 | 9.7 |
| 13 | 9.9 |
| 14 | 9.0 |
| 15 | 9.8 |
| 16 | 9.4 |
| 17 | 9.1 |
| 18 | 10.1 |
| 19 | 11.2 |
| 20 | 10.0 |
| 21 | 9.3 |
| 22 | 8.8 |
| 23 | 8.8 |